Below is AsP2Au after structural relaxation, with properties calculated at the PBE-GGA level.

The structure belongs to space group P3m1 (No. 156); the cell edges are 3.9888, 3.9888 and 5.9090 Å and the angles 90.00°, 90.00° and 120.00°. Symmetry generates all atoms from As at (0.0000, 0.0000, 0.0000), P at (0.3333, 0.6667, 0.2063), P at (0.3333, 0.6667, 0.5638) and Au at (0.6667, 0.3333, 0.7026).

The calculation puts the uncorrected energy at -4.518 eV per atom.


Below is ReBi2BPd after structural relaxation, with properties calculated at the PBE-GGA level.

The structure belongs to space group P4/mmm (No. 123); the cell edges are 5.449, 5.449 and 3.917 Å and the angles 90.00°, 90.00° and 90.00°. Symmetry generates all atoms from Re at (0.000, 0.000, 0.000), Bi at (0.000, 0.500, 0.500), B at (0.500, 0.500, 0.000) and Pd at (0.500, 0.500, 0.500).

The calculation puts the uncorrected energy at -5.083 eV per atom.


Below is Na2LiGe2 after structural relaxation, with properties calculated at the PBE-GGA level.

The structure belongs to space group I4/mmm (No. 139); the cell edges are 3.765, 3.765 and 18.367 Å and the angles 90.00°, 90.00° and 90.00°. Symmetry generates all atoms from Na at (0.000, 0.000, 0.111), Li at (0.000, 0.000, 0.500) and Ge at (0.000, 0.500, 0.250).

The value obtained for the relative energy among the computed polymorphs is 187 meV per atom.